# Cs3OsS4

A relaxed Cs3OsS4 crystal (PBE-GGA, Alexandria via LeMat-Bulk).

Properties
Distance to the lowest polymorph of the same formula: 0 meV per atom
Formation energy (no corrections): -6.1 eV per formula unit

a = 14.5405 Å, b = 10.6377 Å, c = 8.0922 Å
α = 90.00°, β = 90.00°, γ = 90.00°
Atoms (fractional coordinates):
Cs  0.0526  0.2500  0.1156
Cs  0.1473  0.0111  0.6689
Cs  0.1473  0.4889  0.6689
Cs  0.3527  0.5111  0.1689
Cs  0.3527  0.9889  0.1689
Cs  0.4474  0.7500  0.6156
Cs  0.5526  0.2500  0.3844
Cs  0.6473  0.0111  0.8311
Cs  0.6473  0.4889  0.8311
Cs  0.8527  0.5111  0.3311
Cs  0.8527  0.9889  0.3311
Cs  0.9474  0.7500  0.8844
Os  0.1147  0.7500  0.2862
Os  0.3853  0.2500  0.7862
Os  0.6147  0.7500  0.2138
Os  0.8853  0.2500  0.7138
S  0.0043  0.7500  0.4754
S  0.1052  0.5774  0.1354
S  0.1052  0.9226  0.1354
S  0.2459  0.7500  0.4251
S  0.2541  0.2500  0.9251
S  0.3948  0.0774  0.6354
S  0.3948  0.4226  0.6354
S  0.4957  0.2500  0.9754
S  0.5043  0.7500  0.0246
S  0.6052  0.5774  0.3646
S  0.6052  0.9226  0.3646
S  0.7459  0.7500  0.0749
S  0.7541  0.2500  0.5749
S  0.8948  0.0774  0.8646
S  0.8948  0.4226  0.8646
S  0.9957  0.2500  0.5246



# ZnSnSeN2

A relaxed ZnSnSeN2 crystal (PBE-GGA, Alexandria via LeMat-Bulk).

Properties
Distance to the lowest polymorph of the same formula: 61 meV per atom
Formation energy (no corrections): 6.1 eV per formula unit

a = 4.0901 Å, b = 4.0901 Å, c = 5.4042 Å
α = 90.00°, β = 90.00°, γ = 90.00°
Atoms (fractional coordinates):
Zn  0.0000  0.0000  0.0000
Sn  0.5000  0.5000  0.5000
Se  0.0000  0.0000  0.5000
N  0.0000  0.5000  0.0000
N  0.5000  0.0000  0.0000



# Tm12Tl5Co2

A relaxed Tm12Tl5Co2 crystal (PBE-GGA, Alexandria via LeMat-Bulk).

Properties
Energy of formation: -1.62 kcal/mol of atoms

a = 9.1032 Å, b = 9.1032 Å, c = 9.6230 Å
α = 104.86°, β = 104.86°, γ = 48.25°
Atoms (fractional coordinates):
Tm  0.0001  0.0001  0.2276
Tm  0.9999  0.9999  0.7724
Tm  0.0791  0.6062  0.9170
Tm  0.0999  0.5969  0.4255
Tm  0.3938  0.9209  0.0830
Tm  0.4031  0.9001  0.5745
Tm  0.4957  0.4957  0.1721
Tm  0.5043  0.5043  0.8279
Tm  0.5969  0.0999  0.4255
Tm  0.6062  0.0791  0.9170
Tm  0.9001  0.4031  0.5745
Tm  0.9209  0.3938  0.0830
Tl  0.1935  0.1935  0.8384
Tl  0.1949  0.1949  0.3584
Tl  0.5000  0.5000  0.5000
Tl  0.8051  0.8051  0.6416
Tl  0.8065  0.8065  0.1616
Co  0.2081  0.7919  0.0000
Co  0.7919  0.2081  0.0000



# MgBe2Cd2Pd5

A relaxed MgBe2Cd2Pd5 crystal (PBE-GGA, Alexandria via LeMat-Bulk).

Properties
Energy of formation: -11.31 kcal/mol of atoms

a = 9.5840 Å, b = 9.5840 Å, c = 3.2652 Å
α = 90.00°, β = 90.00°, γ = 90.00°
Atoms (fractional coordinates):
Mg  0.0000  0.0000  0.0000
Mg  0.5000  0.5000  0.0000
Be  0.1244  0.3756  0.0000
Be  0.3756  0.8756  0.0000
Be  0.6244  0.1244  0.0000
Be  0.8756  0.6244  0.0000
Cd  0.1756  0.6756  0.0000
Cd  0.3244  0.1756  0.0000
Cd  0.6756  0.8244  0.0000
Cd  0.8244  0.3244  0.0000
Pd  0.0000  0.5000  0.5000
Pd  0.0706  0.2127  0.5000
Pd  0.2127  0.9294  0.5000
Pd  0.2873  0.4294  0.5000
Pd  0.4294  0.7127  0.5000
Pd  0.5000  0.0000  0.5000
Pd  0.5706  0.2873  0.5000
Pd  0.7127  0.5706  0.5000
Pd  0.7873  0.0706  0.5000
Pd  0.9294  0.7873  0.5000



# HfScAu

A relaxed HfScAu crystal (PBE-GGA, Alexandria via LeMat-Bulk).

Properties
Energy of formation: -8.86 kcal/mol of atoms
Distance to the lowest polymorph of the same formula: 94 meV per atom

a = 4.9616 Å, b = 4.9616 Å, c = 6.1348 Å
α = 90.00°, β = 90.00°, γ = 124.66°
Atoms (fractional coordinates):
Hf  0.1800  0.8200  0.7500
Hf  0.8200  0.1800  0.2500
Sc  0.5000  0.5000  0.0000
Sc  0.5000  0.5000  0.5000
Au  0.1488  0.8512  0.2500
Au  0.8512  0.1488  0.7500



# V2AgRu2

A relaxed V2AgRu2 crystal (PBE-GGA, Alexandria via LeMat-Bulk).

Properties
Energy of formation: 0.64 kcal/mol of atoms
Distance to the lowest polymorph of the same formula: 0 meV per atom

a = 7.2397 Å, b = 7.2397 Å, c = 2.8542 Å
α = 90.00°, β = 90.00°, γ = 90.00°
Atoms (fractional coordinates):
V  0.1543  0.3457  0.0000
V  0.3457  0.8457  0.0000
V  0.6543  0.1543  0.0000
V  0.8457  0.6543  0.0000
Ag  0.0000  0.0000  0.5000
Ag  0.5000  0.5000  0.5000
Ru  0.1404  0.6404  0.5000
Ru  0.3596  0.1404  0.5000
Ru  0.6404  0.8596  0.5000
Ru  0.8596  0.3596  0.5000